(1)
Below is an optimized crystal structure of Nb13Tc2, with properties calculated at the GGA-PBE level.

POSCAR file:
```
Nb13Tc2
1.0
5.355 0.406 -0.135
-0.142 7.677 -0.317
-1.142 -4.339 6.920
Nb Tc
13 2
Direct
0.825 0.715 0.081 Nb
0.175 0.285 0.919 Nb
0.000 0.000 0.000 Nb
0.278 0.945 0.528 Nb
0.722 0.055 0.472 Nb
0.917 0.517 0.675 Nb
0.083 0.483 0.325 Nb
0.574 0.576 0.331 Nb
0.426 0.424 0.669 Nb
0.450 0.833 0.788 Nb
0.550 0.167 0.212 Nb
0.665 0.275 0.910 Nb
0.335 0.725 0.090 Nb
0.884 0.871 0.643 Tc
0.116 0.129 0.357 Tc
```

Calculated values
Calculated formation energy: 0.131 eV/atom
Density of states at the Fermi level: 15.8 states/eV/cell



(2)
Below is an optimized crystal structure of In2Mo2H, with properties calculated at the GGA-PBE level.

POSCAR file:
```
In2Mo2H
1.0
5.830 0.000 0.000
0.000 5.830 0.000
0.000 0.000 4.796
H Mo In
2 4 4
Direct
0.000 0.000 0.000 H
0.500 0.500 0.000 H
0.349 0.849 0.000 Mo
0.849 0.651 0.000 Mo
0.651 0.151 0.000 Mo
0.151 0.349 0.000 Mo
0.173 0.673 0.500 In
0.673 0.827 0.500 In
0.827 0.327 0.500 In
0.327 0.173 0.500 In
```

Calculated values
ΔE to the lowest computed polymorph: 0.0 meV per atom
Density of states at the Fermi level: 7.2 states/eV/cell



(3)
Below is an optimized crystal structure of Pr2ThSb4, with properties calculated at the GGA-PBE level.

POSCAR file:
```
Pr2ThSb4
1.0
4.374 0.000 0.000
0.000 4.374 0.000
0.000 0.000 12.016
Pr Th Sb
2 1 4
Direct
0.500 0.000 0.708 Pr
0.000 0.500 0.292 Pr
0.500 0.500 0.000 Th
0.500 0.000 0.186 Sb
0.000 0.500 0.814 Sb
0.500 0.500 0.500 Sb
0.000 0.000 0.500 Sb
```

Calculated values
Final energy: -5.531 eV per atom
Density of states at the Fermi level: 4.2 states/eV/cell